# 1
A plane-wave DFT calculation with PBE-GGA was carried out for a relaxed structure of TaZn4.

The formation energy is 717 meV per atom. The energy above the lowest structure with this stoichiometry is 502.4 meV per atom. As for the final energy: -2.673 eV per atom.

a = 6.126 Å, b = 6.126 Å, c = 6.126 Å
α = 90.00°, β = 90.00°, γ = 90.00°
Space group Im-3m (No. 229)
Unique sites:
Ta: 0.000 0.000 0.000 [2 per cell]
Zn: 0.250 0.250 0.250 [8 per cell]

=====

# 2
A plane-wave DFT calculation with PBE-GGA was carried out for a relaxed structure of Ta5Zn.

The formation energy is 420 meV per atom. The energy above the lowest structure with this stoichiometry is 405.4 meV per atom. As for the final energy: -9.669 eV per atom.

a = 7.692 Å, b = 7.692 Å, c = 7.692 Å
α = 90.00°, β = 90.00°, γ = 90.00°
Space group F-43m (No. 216)
Unique sites:
Ta: 0.000 0.000 0.000 [4 per cell]
Ta: 0.127 0.127 0.627 [16 per cell]
Zn: 0.250 0.250 0.250 [4 per cell]

=====

# 3
A plane-wave DFT calculation with PBE-GGA was carried out for a relaxed structure of Ta2Zn3.

The formation energy is 67 meV per atom. The energy above the lowest structure with this stoichiometry is 0.0 meV per atom. As for the final energy: -5.438 eV per atom.

a = 9.076 Å, b = 13.180 Å, c = 5.232 Å
α = 90.00°, β = 90.00°, γ = 90.00°
Space group Fdd2 (No. 43)
Unique sites:
Ta: 0.071 0.198 0.000 [16 per cell]
Zn: 0.000 0.000 0.146 [8 per cell]
Zn: 0.070 0.116 0.511 [16 per cell]

=====

# 4
A plane-wave DFT calculation with PBE-GGA was carried out for a relaxed structure of TaZn.

The formation energy is 675 meV per atom. As for the final energy: -5.889 eV per atom.

a = 5.202 Å, b = 5.202 Å, c = 5.202 Å
α = 90.00°, β = 90.00°, γ = 90.00°
Space group Fm-3m (No. 225)
Unique sites:
Ta: 0.000 0.000 0.000 [4 per cell]
Zn: 0.000 0.000 0.500 [4 per cell]

=====

# 5
A plane-wave DFT calculation with PBE-GGA was carried out for a relaxed structure of Ta2Zn.

The formation energy is 110 meV per atom. As for the final energy: -8.217 eV per atom.

a = 7.0975 Å, b = 7.0975 Å, c = 3.5256 Å
α = 90.00°, β = 90.00°, γ = 120.00°
Space group P-62m (No. 189)
Unique sites:
Ta: 0.0000 0.2625 0.0000 [3 per cell]
Ta: 0.0000 0.6010 0.5000 [3 per cell]
Zn: 0.0000 0.0000 0.5000 [1 per cell]
Zn: 0.3333 0.6667 0.0000 [2 per cell]

=====

# 6
A plane-wave DFT calculation with PBE-GGA was carried out for a relaxed structure of Ta2Zn.

The formation energy is 151 meV per atom. As for the final energy: -8.176 eV per atom.

a = 10.759 Å, b = 2.874 Å, c = 7.018 Å
α = 90.00°, β = 106.52°, γ = 90.00°
Space group Cm (No. 8)
Unique sites:
Ta: 0.000 0.000 0.000 [2 per cell]
Ta: 0.047 0.000 0.611 [2 per cell]
Ta: 0.166 0.500 0.328 [2 per cell]
Ta: 0.321 0.000 0.662 [2 per cell]
Zn: 0.224 0.500 0.952 [2 per cell]
Zn: 0.384 0.000 0.266 [2 per cell]

=====

# 7
A plane-wave DFT calculation with PBE-GGA was carried out for a relaxed structure of Ta3Zn2.

The formation energy is 172 meV per atom. The energy above the lowest structure with this stoichiometry is 7.3 meV per atom. As for the final energy: -7.449 eV per atom.

a = 2.8843 Å, b = 2.8843 Å, c = 35.9347 Å
α = 90.00°, β = 90.00°, γ = 120.00°
Space group R-3m (No. 166, hexagonal axes)
Unique sites:
Ta: 0.0000 0.0000 0.0000 [3 per cell]
Ta: 0.0000 0.0000 0.2023 [6 per cell]
Zn: 0.0000 0.0000 0.3988 [6 per cell]

=====

# 8
A plane-wave DFT calculation with PBE-GGA was carried out for a relaxed structure of TaZn7.

The formation energy is 13 meV per atom. As for the final energy: -2.584 eV per atom.

a = 7.908 Å, b = 7.908 Å, c = 7.908 Å
α = 90.00°, β = 90.00°, γ = 90.00°
Space group Fm-3m (No. 225)
Unique sites:
Ta: 0.000 0.000 0.000 [4 per cell]
Zn: 0.000 0.000 0.500 [4 per cell]
Zn: 0.000 0.250 0.250 [24 per cell]

=====

# 9
A plane-wave DFT calculation with PBE-GGA was carried out for a relaxed structure of TaZn3.

The formation energy is 1397 meV per atom. As for the final energy: -2.522 eV per atom.

a = 5.270 Å, b = 5.270 Å, c = 5.270 Å
α = 90.00°, β = 90.00°, γ = 90.00°
Space group Pm-3m (No. 221)
Unique sites:
Ta: 0.000 0.000 0.000 [1 per cell]
Zn: 0.000 0.000 0.500 [3 per cell]

=====

# 10
A plane-wave DFT calculation with PBE-GGA was carried out for a relaxed structure of TaZn.

The formation energy is 139 meV per atom. As for the final energy: -6.424 eV per atom.

a = 5.163 Å, b = 5.191 Å, c = 9.798 Å
α = 90.00°, β = 90.00°, γ = 90.00°
Space group P2_12_12_1 (No. 19)
Unique sites:
Ta: 0.126 0.138 0.251 [4 per cell]
Ta: 0.138 0.363 0.542 [4 per cell]
Zn: 0.130 0.405 0.815 [4 per cell]
Zn: 0.136 0.870 0.481 [4 per cell]

=====

# 11
A plane-wave DFT calculation with PBE-GGA was carried out for a relaxed structure of Ta3Zn.

The formation energy is 104 meV per atom. As for the final energy: -9.104 eV per atom.

a = 2.773 Å, b = 4.711 Å, c = 5.425 Å
α = 90.00°, β = 98.79°, γ = 90.00°
Space group P2/m (No. 10)
Unique sites:
Ta: 0.000 0.000 0.000 [1 per cell]
Ta: 0.261 0.500 0.754 [2 per cell]
Zn: 0.500 0.000 0.500 [1 per cell]

=====

# 12
A plane-wave DFT calculation with PBE-GGA was carried out for a relaxed structure of TaZn.

The formation energy is 4 meV per atom. As for the final energy: -6.560 eV per atom.

a = 3.616 Å, b = 4.284 Å, c = 8.543 Å
α = 90.00°, β = 90.00°, γ = 90.00°
Space group Cmme (No. 67)
Unique sites:
Ta: 0.000 0.250 0.135 [4 per cell]
Zn: 0.000 0.250 0.614 [4 per cell]